# 1
Below is ScTlAu2 at its PBEsol-relaxed geometry, with properties calculated at the SCAN level.

The structure in POSCAR format:
```
ScTlAu2
1.0
3.6188 0.0000 0.0000
1.8094 3.1339 0.0000
1.8094 1.0446 7.7093
Au Sc Tl
2 1 1
direct
0.2438 0.2438 0.2685
0.7562 0.7562 0.7315
0.5000 0.5000 0.5000
0.0000 0.0000 0.0000
```

The total energy comes out at -226.95 eV per cell. For the formation energy from the elements, the calculation gives -0.51 eV per atom. The space group is R-3m, No. 166.



# 2
Below is Sc2TlAu2 at its PBEsol-relaxed geometry, with properties calculated at the SCAN level.

The structure in POSCAR format:
```
Sc2TlAu2
1.0
-1.5284 0.4307 4.3270
-2.5602 -3.7964 -0.5265
6.1220 -1.3081 -0.1622
Sc Tl Au
2 1 2
direct
0.2500 0.7500 0.5000
0.7500 0.2500 0.5000
0.0000 0.0000 0.0000
0.3789 0.3789 0.7578
0.6211 0.6211 0.2422
```

The total energy comes out at -242.13 eV per cell. For the formation energy from the elements, the calculation gives -0.60 eV per atom. The space group is I4/mmm, No. 139.



# 3
Below is ScW2Au at its PBEsol-relaxed geometry, with properties calculated at the SCAN level.

The structure in POSCAR format:
```
ScW2Au
1.0
2.8447 0.0000 0.0000
1.4223 2.4635 0.0000
1.4223 0.8212 9.6346
Au Sc W
1 1 2
direct
0.4992 0.4992 0.5025
0.2501 0.2501 0.2496
0.0010 0.0010 0.9970
0.7497 0.7497 0.7510
```

The total energy comes out at -221.41 eV per cell. For the relative energy among the computed polymorphs, the calculation gives 0.278 eV per atom. For the formation energy from the elements, the calculation gives 0.34 eV per atom. The space group is R3m, No. 160.



# 4
Below is ScWAu2 at its PBEsol-relaxed geometry, with properties calculated at the SCAN level.

The structure in POSCAR format:
```
ScWAu2
1.0
2.9036 0.0000 0.0000
0.0000 4.0833 0.0000
0.0000 0.0000 5.7151
Au Sc W
2 1 1
direct
0.0000 0.0000 0.7415
0.0000 0.0000 0.2585
0.5000 0.5000 0.0000
0.5000 0.5000 0.5000
```

The total energy comes out at -222.77 eV per cell. For the formation energy from the elements, the calculation gives -0.13 eV per atom. The space group is Pmmm, No. 47.



# 5
Below is ScW2Au at its PBEsol-relaxed geometry, with properties calculated at the SCAN level.

The structure in POSCAR format:
```
ScW2Au
1.0
2.7376 0.0000 0.0000
0.0000 2.7376 0.0000
0.0000 0.0000 8.9727
Au Sc W
1 1 2
direct
0.5000 0.5000 0.0000
0.5000 0.5000 0.5000
0.0000 0.0000 0.7592
0.0000 0.0000 0.2408
```

The total energy comes out at -221.61 eV per cell. For the relative energy among the computed polymorphs, the calculation gives 0.228 eV per atom. For the formation energy from the elements, the calculation gives 0.29 eV per atom. The space group is P4/mmm, No. 123.



# 6
Below is ScW2Au at its PBEsol-relaxed geometry, with properties calculated at the SCAN level.

The structure in POSCAR format:
```
ScW2Au
1.0
-0.8428 -2.2142 1.4619
3.4705 0.0515 2.0788
-2.4926 3.6369 4.0712
Au Sc W
1 1 2
direct
0.0000 0.0000 0.5059
0.5000 0.5000 0.7408
0.0000 0.0000 0.0182
0.5000 0.5000 0.2351
```

The total energy comes out at -222.14 eV per cell. For the relative energy among the computed polymorphs, the calculation gives 0.096 eV per atom. For the formation energy from the elements, the calculation gives 0.16 eV per atom. The space group is Pmm2, No. 25.



# 7
Below is ScW2Au at its PBEsol-relaxed geometry, with properties calculated at the SCAN level.

The structure in POSCAR format:
```
ScW2Au
1.0
-0.8290 -1.7635 1.9924
1.7319 -1.3904 -1.6836
7.0171 2.5122 5.1434
Au Sc W
1 1 2
direct
0.0000 0.0000 0.5040
0.5000 0.5000 0.2478
0.0000 0.0000 0.9912
0.5000 0.5000 0.7570
```

The total energy comes out at -222.52 eV per cell. For the relative energy among the computed polymorphs, the calculation gives 0.000 eV per atom. For the formation energy from the elements, the calculation gives 0.06 eV per atom. The space group is Cmm2, No. 35.



# 8
Below is ScW2Au at its PBEsol-relaxed geometry, with properties calculated at the SCAN level.

The structure in POSCAR format:
```
ScW2Au
1.0
-2.7789 -1.6607 -1.4564
2.7913 -2.9942 -1.9117
-0.3178 -0.1368 5.0887
Au Sc W
1 1 2
direct
0.4961 0.4961 0.9922
0.2576 0.7576 0.5151
0.0137 0.0137 0.0274
0.7326 0.2326 0.4653
```

The total energy comes out at -222.15 eV per cell. For the relative energy among the computed polymorphs, the calculation gives 0.093 eV per atom. For the formation energy from the elements, the calculation gives 0.15 eV per atom. The space group is Imm2, No. 44.



# 9
Below is ScWAu3 at its PBEsol-relaxed geometry, with properties calculated at the SCAN level.

The structure in POSCAR format:
```
ScWAu3
1.0
4.9264 0.0000 0.0000
0.0000 4.9264 0.0000
0.0000 0.0000 4.9264
Sc Au W
1 3 1
direct
0.5000 0.5000 0.5000
0.0000 0.5000 0.0000
0.0000 0.0000 0.5000
0.5000 0.0000 0.0000
0.0000 0.0000 0.0000
```

The total energy comes out at -287.82 eV per cell. For the formation energy from the elements, the calculation gives 0.72 eV per atom. The space group is Pm-3m, No. 221.



# 10
Below is ScW2Au at its PBEsol-relaxed geometry, with properties calculated at the SCAN level.

The structure in POSCAR format:
```
ScW2Au
1.0
-0.2312 2.3980 3.8503
1.5212 -1.7920 3.8863
3.7968 1.6043 1.9076
Au Sc W
1 1 2
direct
0.0000 0.0000 0.0000
0.5000 0.5000 0.5000
0.2500 0.2500 0.2500
0.7500 0.7500 0.7500
```

The total energy comes out at -219.67 eV per cell. For the relative energy among the computed polymorphs, the calculation gives 0.713 eV per atom. For the formation energy from the elements, the calculation gives 0.77 eV per atom. The space group is Fm-3m, No. 225.



# 11
Below is YSc2Au2 at its PBEsol-relaxed geometry, with properties calculated at the SCAN level.

The structure in POSCAR format:
```
YSc2Au2
1.0
3.5175 0.0000 0.0000
0.0000 7.7912 0.0000
0.0000 0.0000 7.7912
Y Sc Au
2 4 4
direct
0.0000 0.0000 0.0000
0.0000 0.5000 0.5000
0.5000 0.1607 0.6607
0.5000 0.6607 0.8393
0.5000 0.8393 0.3393
0.5000 0.3393 0.1607
0.0000 0.3676 0.8676
0.0000 0.8676 0.6324
0.0000 0.6324 0.1324
0.0000 0.1324 0.3676
```

The total energy comes out at -398.20 eV per cell. For the formation energy from the elements, the calculation gives -0.89 eV per atom. The space group is P4/mbm, No. 127.



# 12
Below is YScAu at its PBEsol-relaxed geometry, with properties calculated at the SCAN level.

The structure in POSCAR format:
```
YScAu
1.0
-1.5014 4.1706 1.5013
-3.8951 1.8707 -1.7977
-3.8750 0.2920 2.6080
Au Sc Y
1 1 1
direct
0.0000 0.0000 0.0000
0.5000 0.5000 0.5000
0.7500 0.7500 0.7500
```

The total energy comes out at -111.09 eV per cell. For the relative energy among the computed polymorphs, the calculation gives 0.559 eV per atom. For the formation energy from the elements, the calculation gives 0.05 eV per atom. The space group is F-43m, No. 216.



# 13
Below is YScAu at its PBEsol-relaxed geometry, with properties calculated at the SCAN level.

The structure in POSCAR format:
```
YScAu
1.0
3.5999 0.0000 0.0000
-1.8000 3.1176 0.0000
0.0000 0.0000 6.6604
Au Sc Y
1 1 1
direct
0.0000 0.0000 0.9848
0.3333 0.6667 0.7178
0.6667 0.3333 0.2973
```

The total energy comes out at -112.77 eV per cell. For the relative energy among the computed polymorphs, the calculation gives 0.000 eV per atom. For the formation energy from the elements, the calculation gives -0.51 eV per atom. The space group is P3m1, No. 156.



# 14
Below is Y2ScAu at its PBEsol-relaxed geometry, with properties calculated at the SCAN level.

The structure in POSCAR format:
```
Y2ScAu
1.0
-2.3875 -0.4639 -2.6177
3.6168 -2.0346 -2.9382
-1.8002 -3.6817 4.7330
Y Sc Au
2 1 1
direct
0.9979 0.4979 0.9957
0.7854 0.7854 0.5707
0.2067 0.2067 0.4133
0.5101 0.0101 0.0202
```

The total energy comes out at -141.41 eV per cell. For the formation energy from the elements, the calculation gives -0.58 eV per atom. The space group is Imm2, No. 44.



# 15
Below is ScZnAu at its PBEsol-relaxed geometry, with properties calculated at the SCAN level.

The structure in POSCAR format:
```
ScZnAu
1.0
-2.0843 -2.0322 1.0915
0.7022 -2.5965 -3.4935
2.4160 -0.5166 3.6517
Sc Zn Au
1 1 1
direct
0.0000 0.3333 0.6667
0.5000 0.6667 0.3333
0.5000 0.0000 0.0000
```

The total energy comes out at -99.25 eV per cell. For the formation energy from the elements, the calculation gives -0.78 eV per atom. The space group is P-6m2, No. 187.